First-principles (PBE) data for Re3BiRu after structural relaxation, as listed in the Alexandria database.

Calculated values
DFT formation energy = 1.980 eV per atom

```
data_Re3BiRu
_cell_length_a 4.731
_cell_length_b 4.731
_cell_length_c 4.731
_cell_angle_alpha 90.00
_cell_angle_beta 90.00
_cell_angle_gamma 90.00
_symmetry_space_group_name_H-M 'P 1'
_symmetry_Int_Tables_number 1
loop_
_symmetry_equiv_pos_as_xyz
'x,y,z'
loop_
_atom_site_label
_atom_site_fract_x
_atom_site_fract_y
_atom_site_fract_z
Re1 0.000 0.500 0.000
Re2 0.500 0.000 0.000
Re3 0.000 0.000 0.500
Bi1 0.500 0.500 0.500
Ru1 0.000 0.000 0.000
```

First-principles (PBE) data for Re2BiRu after structural relaxation, as listed in the Alexandria database.

Calculated values
DFT formation energy = 0.949 eV per atom

```
data_Re2BiRu
_cell_length_a 4.570
_cell_length_b 4.570
_cell_length_c 4.570
_cell_angle_alpha 60.00
_cell_angle_beta 60.00
_cell_angle_gamma 60.00
_symmetry_space_group_name_H-M 'P 1'
_symmetry_Int_Tables_number 1
loop_
_symmetry_equiv_pos_as_xyz
'x,y,z'
loop_
_atom_site_label
_atom_site_fract_x
_atom_site_fract_y
_atom_site_fract_z
Bi1 0.500 0.500 0.500
Ru1 0.000 0.000 0.000
Re1 0.250 0.250 0.250
Re2 0.750 0.750 0.750
```

First-principles (PBE) data for ReBi2RuS after structural relaxation, as listed in the Alexandria database.

Calculated values
Raw formation energy = 1210 meV per atom

```
data_ReBi2RuS
_cell_length_a 5.318
_cell_length_b 4.681
_cell_length_c 5.318
_cell_angle_alpha 90.00
_cell_angle_beta 90.00
_cell_angle_gamma 90.00
_symmetry_space_group_name_H-M 'P 1'
_symmetry_Int_Tables_number 1
loop_
_symmetry_equiv_pos_as_xyz
'x,y,z'
loop_
_atom_site_label
_atom_site_fract_x
_atom_site_fract_y
_atom_site_fract_z
Re1 0.000 0.000 0.000
Ru1 0.000 0.500 0.000
Bi1 0.000 0.000 0.500
Bi2 0.500 0.000 0.000
S1 0.500 0.500 0.500
```

First-principles (PBE) data for ReSnBiRu2 after structural relaxation, as listed in the Alexandria database.

Calculated values
DFT formation energy = 1.306 eV per atom

```
data_ReSnBiRu2
_cell_length_a 4.786
_cell_length_b 5.231
_cell_length_c 4.786
_cell_angle_alpha 90.00
_cell_angle_beta 90.00
_cell_angle_gamma 90.00
_symmetry_space_group_name_H-M 'P 1'
_symmetry_Int_Tables_number 1
loop_
_symmetry_equiv_pos_as_xyz
'x,y,z'
loop_
_atom_site_label
_atom_site_fract_x
_atom_site_fract_y
_atom_site_fract_z
Re1 0.000 0.000 0.000
Sn1 0.500 0.500 0.500
Ru1 0.000 0.000 0.500
Ru2 0.500 0.000 0.000
Bi1 0.000 0.500 0.000
```

First-principles (PBE) data for Re2BiS after structural relaxation, as listed in the Alexandria database.

Calculated values
Raw formation energy = 671 meV per atom

```
data_Re2BiS
_cell_length_a 4.552
_cell_length_b 4.552
_cell_length_c 8.544
_cell_angle_alpha 74.55
_cell_angle_beta 74.55
_cell_angle_gamma 90.00
_symmetry_space_group_name_H-M 'P 1'
_symmetry_Int_Tables_number 1
loop_
_symmetry_equiv_pos_as_xyz
'x,y,z'
loop_
_atom_site_label
_atom_site_fract_x
_atom_site_fract_y
_atom_site_fract_z
S1 0.500 0.500 0.000
Re1 0.375 0.486 0.750
S2 0.250 0.750 0.500
Bi1 0.750 0.250 0.500
Re2 0.236 0.625 0.250
Re3 0.514 0.125 0.250
Re4 0.875 0.764 0.750
Bi2 0.000 0.000 0.000
```

First-principles (PBE) data for ReBiS2 after structural relaxation, as listed in the Alexandria database.

Calculated values
Raw formation energy = -61 meV per atom

```
data_ReBiS2
_cell_length_a 8.869
_cell_length_b 8.869
_cell_length_c 8.869
_cell_angle_alpha 22.33
_cell_angle_beta 22.33
_cell_angle_gamma 22.33
_symmetry_space_group_name_H-M 'P 1'
_symmetry_Int_Tables_number 1
loop_
_symmetry_equiv_pos_as_xyz
'x,y,z'
loop_
_atom_site_label
_atom_site_fract_x
_atom_site_fract_y
_atom_site_fract_z
S1 0.887 0.887 0.887
Re1 0.500 0.500 0.500
Bi1 0.000 0.000 0.000
S2 0.113 0.113 0.113
```

First-principles (PBE) data for Re3BiS after structural relaxation, as listed in the Alexandria database.

Calculated values
Raw formation energy = 1149 meV per atom

```
data_Re3BiS
_cell_length_a 4.492
_cell_length_b 4.492
_cell_length_c 4.492
_cell_angle_alpha 90.00
_cell_angle_beta 90.00
_cell_angle_gamma 90.00
_symmetry_space_group_name_H-M 'P 1'
_symmetry_Int_Tables_number 1
loop_
_symmetry_equiv_pos_as_xyz
'x,y,z'
loop_
_atom_site_label
_atom_site_fract_x
_atom_site_fract_y
_atom_site_fract_z
Bi1 0.500 0.500 0.500
Re1 0.500 0.000 0.000
Re2 0.000 0.000 0.500
S1 0.000 0.000 0.000
Re3 0.000 0.500 0.000
```

First-principles (PBE) data for ReBiS3 after structural relaxation, as listed in the Alexandria database.

Calculated values
Raw formation energy = 1554 meV per atom

```
data_ReBiS3
_cell_length_a 5.143
_cell_length_b 5.143
_cell_length_c 5.143
_cell_angle_alpha 90.00
_cell_angle_beta 90.00
_cell_angle_gamma 90.00
_symmetry_space_group_name_H-M 'P 1'
_symmetry_Int_Tables_number 1
loop_
_symmetry_equiv_pos_as_xyz
'x,y,z'
loop_
_atom_site_label
_atom_site_fract_x
_atom_site_fract_y
_atom_site_fract_z
S1 0.000 0.500 0.000
Re1 0.500 0.500 0.500
S2 0.500 0.000 0.000
Bi1 0.000 0.000 0.000
S3 0.000 0.000 0.500
```

First-principles (PBE) data for ReBi3S after structural relaxation, as listed in the Alexandria database.

Calculated values
Raw formation energy = 1349 meV per atom

```
data_ReBi3S
_cell_length_a 5.277
_cell_length_b 5.277
_cell_length_c 5.277
_cell_angle_alpha 90.00
_cell_angle_beta 90.00
_cell_angle_gamma 90.00
_symmetry_space_group_name_H-M 'P 1'
_symmetry_Int_Tables_number 1
loop_
_symmetry_equiv_pos_as_xyz
'x,y,z'
loop_
_atom_site_label
_atom_site_fract_x
_atom_site_fract_y
_atom_site_fract_z
Bi1 0.000 0.000 0.500
S1 0.000 0.000 0.000
Bi2 0.500 0.000 0.000
Re1 0.500 0.500 0.500
Bi3 0.000 0.500 0.000
```

First-principles (PBE) data for ReBiS2 after structural relaxation, as listed in the Alexandria database.

Calculated values
Raw formation energy = 249 meV per atom

```
data_ReBiS2
_cell_length_a 6.357
_cell_length_b 6.357
_cell_length_c 6.586
_cell_angle_alpha 61.14
_cell_angle_beta 61.14
_cell_angle_gamma 90.00
_symmetry_space_group_name_H-M 'P 1'
_symmetry_Int_Tables_number 1
loop_
_symmetry_equiv_pos_as_xyz
'x,y,z'
loop_
_atom_site_label
_atom_site_fract_x
_atom_site_fract_y
_atom_site_fract_z
Bi1 0.000 0.000 0.000
S1 0.875 0.789 0.750
S2 0.211 0.625 0.250
Bi2 0.750 0.250 0.500
S3 0.375 0.461 0.750
Re1 0.500 0.500 0.000
S4 0.539 0.125 0.250
Re2 0.250 0.750 0.500
```

First-principles (PBE) data for ReBi3S after structural relaxation, as listed in the Alexandria database.

Calculated values
Raw formation energy = 756 meV per atom

```
data_ReBi3S
_cell_length_a 5.294
_cell_length_b 5.294
_cell_length_c 5.294
_cell_angle_alpha 90.00
_cell_angle_beta 90.00
_cell_angle_gamma 90.00
_symmetry_space_group_name_H-M 'P 1'
_symmetry_Int_Tables_number 1
loop_
_symmetry_equiv_pos_as_xyz
'x,y,z'
loop_
_atom_site_label
_atom_site_fract_x
_atom_site_fract_y
_atom_site_fract_z
Re1 0.000 0.000 0.000
Bi1 0.500 0.000 0.000
S1 0.500 0.500 0.500
Bi2 0.000 0.000 0.500
Bi3 0.000 0.500 0.000
```

First-principles (PBE) data for ReBiS3 after structural relaxation, as listed in the Alexandria database.

Calculated values
Raw formation energy = 244 meV per atom

```
data_ReBiS3
_cell_length_a 4.676
_cell_length_b 4.676
_cell_length_c 4.676
_cell_angle_alpha 90.00
_cell_angle_beta 90.00
_cell_angle_gamma 90.00
_symmetry_space_group_name_H-M 'P 1'
_symmetry_Int_Tables_number 1
loop_
_symmetry_equiv_pos_as_xyz
'x,y,z'
loop_
_atom_site_label
_atom_site_fract_x
_atom_site_fract_y
_atom_site_fract_z
S1 0.500 0.000 0.000
S2 0.000 0.500 0.000
Bi1 0.500 0.500 0.500
S3 0.000 0.000 0.500
Re1 0.000 0.000 0.000
```

First-principles (PBE) data for Re3BiS after structural relaxation, as listed in the Alexandria database.

Calculated values
Raw formation energy = 3525 meV per atom

```
data_Re3BiS
_cell_length_a 5.026
_cell_length_b 5.026
_cell_length_c 5.026
_cell_angle_alpha 90.00
_cell_angle_beta 90.00
_cell_angle_gamma 90.00
_symmetry_space_group_name_H-M 'P 1'
_symmetry_Int_Tables_number 1
loop_
_symmetry_equiv_pos_as_xyz
'x,y,z'
loop_
_atom_site_label
_atom_site_fract_x
_atom_site_fract_y
_atom_site_fract_z
Re1 0.500 0.000 0.000
Bi1 0.000 0.000 0.000
Re2 0.000 0.000 0.500
Re3 0.000 0.500 0.000
S1 0.500 0.500 0.500
```

First-principles (PBE) data for Re2BiS after structural relaxation, as listed in the Alexandria database.

Calculated values
Raw formation energy = 1114 meV per atom

```
data_Re2BiS
_cell_length_a 4.573
_cell_length_b 4.573
_cell_length_c 4.573
_cell_angle_alpha 60.00
_cell_angle_beta 60.00
_cell_angle_gamma 60.00
_symmetry_space_group_name_H-M 'P 1'
_symmetry_Int_Tables_number 1
loop_
_symmetry_equiv_pos_as_xyz
'x,y,z'
loop_
_atom_site_label
_atom_site_fract_x
_atom_site_fract_y
_atom_site_fract_z
S1 0.000 0.000 0.000
Re1 0.750 0.750 0.750
Bi1 0.500 0.500 0.500
Re2 0.250 0.250 0.250
```

Total magnetization for the records above, in order: 0.486, 0.002, 0.085, 0.003, 0.000, 1.123, 1.390, 4.719, 2.666, 0.000, 0.000, 0.000, 3.232, 0.000 μB per cell
Final energy for the records above, in order: -8.1203, -8.5638, -5.5122, -6.4704, -7.5548, -6.2070, -7.9212, -4.1887, -4.2948, -5.8969, -4.8878, -5.4982, -5.5453, -7.1125 eV per atom